[1]
Compound: Li2Pm3In6
Source: Alexandria
Functional: GGA-PBE
Structure: optimized geometry

Output
Size of the total moment ... 0.00 μB/f.u.
Total energy ... -3.51 eV per atom
ΔE_f ... -0.373 eV/atom

a = 4.6148 Å, b = 4.6148 Å, c = 26.0893 Å
α = 90.00°, β = 90.00°, γ = 90.00°
With the nearest neighbours (Å) after each atom.
Space group I4/mmm (No. 139)
One atom of each set of equivalent atoms:
Li (0.0000, 0.0000, 0.0456)  1 Li 2.38
Pm (0.0000, 0.0000, 0.3053)  9 In 3.20-3.41
Pm (0.0000, 0.0000, 0.5000)  8 In 3.46, 8 Li 3.47
In (0.0000, 0.0000, 0.1826)  4 In 3.18, 5 Pm 3.20-3.28
In (0.0000, 0.5000, 0.0986)  2 Li 2.69

[2]
Compound: LiPm5In3
Source: Alexandria
Functional: GGA-PBE
Structure: optimized geometry

Output
Size of the total moment ... 0.00 μB/f.u.
Total energy ... -4.10 eV per atom
ΔE_f ... -0.333 eV/atom

a = 9.5133 Å, b = 9.5133 Å, c = 6.7756 Å
α = 90.00°, β = 90.00°, γ = 120.00°
With the nearest neighbours (Å) after each atom.
Space group P6_3/mcm (No. 193)
One atom of each set of equivalent atoms:
Li (0.0000, 0.0000, 0.0000)  2 Li 3.39, 6 Pm 3.42, 6 In 3.72
Pm (0.0000, 0.3117, 0.2500)  5 In 3.15-3.41, 2 Li 3.42
Pm (0.3333, 0.6667, 0.0000)  8 Pm 3.39-3.69, 6 In 3.54
In (0.0000, 0.3480, 0.7500)  5 Pm 3.15-3.41

[3]
Compound: Li3PmIn2
Source: Alexandria
Functional: GGA-PBE
Structure: optimized geometry

Output
Size of the total moment ... 0.00 μB/f.u.
Total energy ... -2.97 eV per atom
ΔE_f ... -0.306 eV/atom

a = 14.3536 Å, b = 4.6984 Å, c = 9.3060 Å
α = 90.00°, β = 120.90°, γ = 90.00°
With the nearest neighbours (Å) after each atom.
Space group C2/m (No. 12)
One atom of each set of equivalent atoms:
Li (0.0480, 0.0000, 0.3857)  3 In 2.84-2.98, 4 Li 2.85-3.07
Li (0.0883, 0.5000, 0.6852)  3 In 2.81-2.87, 4 Li 2.89-3.06
Li (0.2394, 0.5000, 0.5673)  4 Li 2.75-2.89, 3 In 2.96-3.02
Pm (0.1339, 0.0000, 0.0084)  5 Li 3.23-3.60, 7 In 3.25-3.42
In (0.0636, 0.5000, 0.2016)  4 Li 2.87-3.02, 1 In 3.00
In (0.2088, 0.0000, 0.7323)  5 Li 2.81-2.96, 1 In 3.00

[4]
Compound: LiPm3In2
Source: Alexandria
Functional: GGA-PBE
Structure: optimized geometry

Output
Size of the total moment ... 0.00 μB/f.u.
Total energy ... -3.95 eV per atom
ΔE_f ... -0.346 eV/atom

a = 5.4194 Å, b = 5.4194 Å, c = 13.3081 Å
α = 90.00°, β = 90.00°, γ = 120.00°
With the nearest neighbours (Å) after each atom.
Space group P-3m1 (No. 164)
One atom of each set of equivalent atoms:
Li (0.3333, 0.6667, 0.1696)  8 Pm 3.29-3.35
Pm (0.0000, 0.0000, 0.2504)  5 In 3.28-3.33, 3 Li 3.31
Pm (0.3333, 0.6667, 0.4167)  1 Li 3.29, 7 In 3.32-3.44
Pm (0.3333, 0.6667, 0.9179)  4 In 3.23-3.31, 4 Li 3.34-3.35
In (0.0000, 0.0000, 0.0000)  8 Pm 3.31-3.33
In (0.0000, 0.0000, 0.5000)  8 Pm 3.32
In (0.3333, 0.6667, 0.6752)  8 Pm 3.23-3.44

What is the formula in the fourth record? LiPm3In2